[1]
Computed, not measured: crystalline ZnFeRh at its relaxed geometry at the PBE level of DFT.

Values from the calculation:
- calculated density (g/cm³) = 9.097
- polymorph energy (0 for the lowest one) (kJ per mole of atoms) = 6.4
- ΔH_f (0 K) (eV/atom) = -0.078
- electronic total energy (eV per formula unit) = -17.322

Unit cell a=4.1748 b=4.1748 c=2.7108 alpha=90.00 beta=90.00 gamma=120.00
Closest atoms and distances in Å follow each position.
Space group P3m1 (No. 156)
Unique sites:
Zn1 0.0000 0.0000 0.0000  3 Fe 2.57, 3 Rh 2.64, 2 Zn 2.71
Fe1 0.3333 0.6667 0.3255  3 Rh 2.53, 3 Zn 2.57, 2 Fe 2.71
Rh1 0.6667 0.3333 0.6048  3 Fe 2.53, 3 Zn 2.64, 2 Rh 2.71


[2]
Computed, not measured: crystalline Cr2ReBr at its relaxed geometry at the PBE level of DFT.

Values from the calculation:
- calculated density (g/cm³) = 10.095
- polymorph energy (0 for the lowest one) (kJ per mole of atoms) = 69.5
- electronic total energy (eV per formula unit) = -28.994

Unit cell a=3.6260 b=3.6260 c=9.2603 alpha=90.00 beta=90.00 gamma=90.00
Closest atoms and distances in Å follow each position.
Space group I-4m2 (No. 119)
Unique sites:
Cr1 0.0000 0.0000 0.0000  4 Br 2.56
Cr2 0.0000 0.5000 0.2500  4 Re 2.56
Re1 0.0000 0.5000 0.7500  4 Cr 2.56
Br1 0.0000 0.0000 0.5000  4 Cr 2.56


[3]
Computed, not measured: crystalline TbAl4Ga2 at its relaxed geometry at the PBE level of DFT.

Values from the calculation:
- calculated density (g/cm³) = 4.336
- ΔH_f (0 K) (eV/atom) = 0.231
- electronic total energy (eV per formula unit) = -24.037

Unit cell a=5.6378 b=5.6378 c=9.7902 alpha=90.00 beta=90.00 gamma=90.00
Closest atoms and distances in Å follow each position.
Space group I4/mmm (No. 139)
Unique sites:
Tb1 0.0000 0.0000 0.0000  4 Al 2.82
Al1 0.0000 0.5000 0.0000  2 Al 2.45
Al2 0.0000 0.5000 0.2500  2 Al 2.45
Ga1 0.0000 0.0000 0.3573  1 Ga 2.79, 4 Al 3.01


[4]
Computed, not measured: crystalline Ho3ZrCu4 at its relaxed geometry at the PBE level of DFT.

Values from the calculation:
- calculated density (g/cm³) = 8.816
- ΔH_f (0 K) (eV/atom) = -0.211
- electronic total energy (eV per formula unit) = -40.357

Unit cell a=3.4100 b=3.4100 c=13.6101 alpha=90.00 beta=90.00 gamma=90.00
Closest atoms and distances in Å follow each position.
Space group P4/mmm (No. 123)
Unique sites:
Ho1 0.0000 0.0000 0.0000  8 Cu 2.97
Ho2 0.0000 0.0000 0.2564  8 Cu 2.99-3.04, 1 Zr 3.32
Zr1 0.0000 0.0000 0.5000  8 Cu 2.82
Cu1 0.5000 0.5000 0.1270  8 Ho 2.97-2.99
Cu2 0.5000 0.5000 0.3921  4 Zr 2.82, 1 Cu 2.94, 4 Ho 3.04


[5]
Computed, not measured: crystalline Re2IBr2 at its relaxed geometry at the PBE level of DFT.

Values from the calculation:
- calculated density (g/cm³) = 6.704
- polymorph energy (0 for the lowest one) (kJ per mole of atoms) = 0.0
- electronic total energy (eV per formula unit) = -24.198

Unit cell a=10.5971 b=10.5971 c=2.9075 alpha=90.00 beta=90.00 gamma=90.00
Closest atoms and distances in Å follow each position.
Space group P4/mbm (No. 127)
Unique sites:
Re1 0.0764 0.4236 0.0000  1 Re 2.29, 2 Br 2.56
I1 0.0000 0.0000 0.0000  2 I 2.91
Br1 0.2166 0.2834 0.5000  2 Re 2.56


[6]
Computed, not measured: crystalline PmNdEr2 at its relaxed geometry at the PBE level of DFT.

Values from the calculation:
- calculated density (g/cm³) = 7.947
- polymorph energy (0 for the lowest one) (kJ per mole of atoms) = 0.7
- ΔH_f (0 K) (eV/atom) = 0.022
- electronic total energy (eV per formula unit) = -18.558

Unit cell a=3.5958 b=3.5958 c=10.0804 alpha=90.00 beta=90.00 gamma=90.00
Closest atoms and distances in Å follow each position.
Space group P4/mmm (No. 123)
Unique sites:
Pm1 0.0000 0.0000 0.0000  8 Er 3.57, 4 Pm 3.60
Nd1 0.0000 0.0000 0.5000  8 Er 3.59, 4 Nd 3.60
Er1 0.5000 0.5000 0.2489  4 Pm 3.57, 4 Nd 3.59, 4 Er 3.60


[7]
Computed, not measured: crystalline Al4NiP at its relaxed geometry at the PBE level of DFT.

Values from the calculation:
- calculated density (g/cm³) = 3.434
- ΔH_f (0 K) (eV/atom) = 0.372
- electronic total energy (eV per formula unit) = -23.927

Unit cell a=7.2569 b=7.2569 c=7.2569 alpha=90.00 beta=90.00 gamma=90.00
Closest atoms and distances in Å follow each position.
Space group F-43m (No. 216)
Unique sites:
Al1 0.1244 0.1244 0.1244  6 Al 2.55-2.58
Ni1 0.2500 0.2500 0.7500  12 Al 3.01, 4 P 3.14
P1 0.0000 0.0000 0.5000  12 Al 3.01, 4 Ni 3.14


[8]
Computed, not measured: crystalline Pr2CdCu at its relaxed geometry at the PBE level of DFT.

Values from the calculation:
- calculated density (g/cm³) = 7.180
- polymorph energy (0 for the lowest one) (kJ per mole of atoms) = 0.0
- ΔH_f (0 K) (eV/atom) = -0.210
- electronic total energy (eV per formula unit) = -15.409

Unit cell a=3.7143 b=3.7143 c=7.6739 alpha=90.00 beta=90.00 gamma=90.00
Closest atoms and distances in Å follow each position.
Space group P4/mmm (No. 123)
Unique sites:
Pr1 0.0000 0.0000 0.2267  4 Cu 3.15, 4 Cd 3.36, 1 Pr 3.48
Cd1 0.5000 0.5000 0.5000  8 Pr 3.36, 4 Cd 3.71
Cu1 0.5000 0.5000 0.0000  8 Pr 3.15


[9]
Computed, not measured: crystalline LaTbSb2 at its relaxed geometry at the PBE level of DFT.

Values from the calculation:
- calculated density (g/cm³) = 6.905
- polymorph energy (0 for the lowest one) (kJ per mole of atoms) = 0.0
- electronic total energy (eV per formula unit) = -22.639

Unit cell a=4.5217 b=4.5217 c=22.0558 alpha=90.00 beta=90.00 gamma=120.00
Closest atoms and distances in Å follow each position.
Space group R-3m (No. 166, hexagonal axes)
Unique sites:
La1 0.0000 0.0000 0.0000  6 Sb 3.25
Tb1 0.0000 0.0000 0.5000  6 Sb 3.14
Sb1 0.0000 0.0000 0.2459  3 Tb 3.14, 3 La 3.25


[10]
Computed, not measured: crystalline La2TePdSe at its relaxed geometry at the PBE level of DFT.

Values from the calculation:
- calculated density (g/cm³) = 5.169
- electronic total energy (eV per formula unit) = -21.817

Unit cell a=5.9842 b=5.9842 c=5.3003 alpha=90.00 beta=90.00 gamma=90.00
Closest atoms and distances in Å follow each position.
Space group P4/mmm (No. 123)
Unique sites:
La1 0.0000 0.5000 0.0000  2 Te 2.99
Te1 0.0000 0.0000 0.0000  2 Se 2.65
Pd1 0.5000 0.5000 0.5000  8 La 4.00, 4 Se 4.23
Se1 0.0000 0.0000 0.5000  2 Te 2.65


[11]
Computed, not measured: crystalline CdSiAu2 at its relaxed geometry at the PBE level of DFT.

Values from the calculation:
- calculated density (g/cm³) = 12.078
- polymorph energy (0 for the lowest one) (kJ per mole of atoms) = 12.0
- electronic total energy (eV per formula unit) = -12.387

Unit cell a=4.3167 b=4.3167 c=3.9432 alpha=90.00 beta=90.00 gamma=90.00
Closest atoms and distances in Å follow each position.
Space group P4/mmm (No. 123)
Unique sites:
Cd1 0.0000 0.0000 0.0000  8 Au 2.92, 4 Si 3.05
Si1 0.5000 0.5000 0.0000  8 Au 2.92, 4 Cd 3.05
Au1 0.0000 0.5000 0.5000  4 Cd 2.92, 4 Si 2.92, 4 Au 3.05


[12]
Computed, not measured: crystalline HfZn2F at its relaxed geometry at the PBE level of DFT.

Values from the calculation:
- calculated density (g/cm³) = 8.149
- polymorph energy (0 for the lowest one) (kJ per mole of atoms) = 0.0
- electronic total energy (eV per formula unit) = -16.676

Unit cell a=7.7524 b=7.7524 c=4.4523 alpha=90.00 beta=90.00 gamma=90.00
Closest atoms and distances in Å follow each position.
Space group I-42d (No. 122)
Unique sites:
Hf1 0.0000 0.0000 0.0000  2 F 2.23
Zn1 0.2149 0.2500 0.6250  2 Zn 2.29
F1 0.0000 0.0000 0.5000  2 Hf 2.23